Below is a geometry-optimized NaIn2P structure, with properties calculated at the GGA-PBEsol level.

a = 5.4767 Å, b = 6.5377 Å, c = 6.5377 Å
α = 79.90°, β = 65.24°, γ = 65.24°
Closest atoms and distances in Å follow each position.
Atoms (fractional coordinates):
1 P 0.7500 0.5000 0.5000  4 In 2.67, 2 Na 2.74
2 P 0.0000 0.0000 0.0000  4 In 2.67, 2 Na 2.74
3 Na 0.2500 0.5000 0.5000  2 P 2.74
4 Na 0.5000 0.0000 0.0000  2 P 2.74
5 In 0.0547 0.0703 0.5703  2 P 2.67, 2 In 2.98
6 In 0.6953 0.9297 0.4297  2 P 2.67, 2 In 2.98
7 In 0.3750 0.5703 0.9297  2 P 2.67, 2 In 2.98
8 In 0.8750 0.4297 0.0703  2 P 2.67, 2 In 2.98

Properties
Space-group type: I-42d
E_tot, eV/atom: -3.4313